(1)
## Ac3Tl2Sn (PBE-GGA)

Data for a relaxed structure of Ac3Tl2Sn.

Unit cell a=9.449 b=9.449 c=7.029 alpha=101.94 beta=101.94 gamma=43.42
Sites, in units of the cell vectors:
Ac 0.144 0.856 0.750
Ac 0.214 0.446 0.394
Ac 0.446 0.214 0.894
Ac 0.554 0.786 0.106
Ac 0.786 0.554 0.606
Ac 0.856 0.144 0.250
Tl 0.044 0.282 0.046
Tl 0.282 0.044 0.546
Tl 0.718 0.956 0.454
Tl 0.956 0.718 0.954
Sn 0.353 0.647 0.250
Sn 0.647 0.353 0.750

Values from the calculation:
**Magnetic moment**: 0.00 μB/f.u.
**Calculated formation energy**: -414 meV per atom
**Excess energy over the best structure of this formula in the dataset**: 0 meV per atom
**N(E_F)**: 3.7 states/eV/f.u.

=====

(2)
## AcTl2Sn (PBE-GGA)

Data for a relaxed structure of AcTl2Sn.

Unit cell a=4.878 b=4.878 c=5.227 alpha=90.00 beta=90.00 gamma=90.00
Sites, in units of the cell vectors:
Ac 0.000 0.000 0.000
Tl 0.000 0.500 0.500
Tl 0.500 0.000 0.500
Sn 0.500 0.500 0.000

Values from the calculation:
**Magnetic moment**: 0.00 μB/f.u.
**Calculated formation energy**: -385 meV per atom
**Excess energy over the best structure of this formula in the dataset**: 0 meV per atom
**N(E_F)**: 2.3 states/eV/f.u.